Record 1
Compound: OsRu2Pb
Source: Alexandria via LeMat-Bulk
Functional: PBE
Structure: relaxed

Formation enthalpy at 0 K: 2.21 eV/f.u.

a b c (Å): 2.843 3.694 6.445
angles (deg): 90.00 90.00 90.00
Fractional coordinates of all 4 atoms:
Os 0.500 0.500 0.250
Ru 0.000 0.000 0.045
Ru 0.000 0.000 0.455
Pb 0.500 0.500 0.750

Record 2
Compound: CsRbCd2In
Source: Alexandria via LeMat-Bulk
Functional: PBE
Structure: relaxed

Energy above the most stable polymorph in this dataset: 0.0000 eV per atom
Formation enthalpy at 0 K: 0.35 eV/f.u.

a b c (Å): 5.858 5.858 6.864
angles (deg): 90.00 90.00 90.00
Fractional coordinates of all 5 atoms:
Rb 0.000 0.000 0.500
Cd 0.500 0.000 0.000
Cs 0.500 0.500 0.500
In 0.000 0.000 0.000
Cd 0.000 0.500 0.000

Record 3
Compound: Sm10Sn3Sb3
Source: Alexandria via LeMat-Bulk
Functional: PBE
Structure: relaxed

Formation energy without anion corrections: -0.839 eV per atom

a b c (Å): 6.578 9.199 9.199
angles (deg): 120.00 90.00 90.00
Fractional coordinates of all 16 atoms:
Sm 0.250 0.667 0.333
Sb 0.000 0.390 0.390
Sm 0.000 0.000 0.243
Sm 0.250 0.333 0.667
Sm 0.000 0.757 0.757
Sb 0.000 0.610 0.000
Sm 0.500 0.757 0.000
Sm 0.500 0.243 0.243
Sm 0.000 0.243 0.000
Sm 0.750 0.667 0.333
Sm 0.750 0.333 0.667
Sn 0.500 0.000 0.392
Sm 0.500 0.000 0.757
Sb 0.000 0.000 0.610
Sn 0.500 0.392 0.000
Sn 0.500 0.608 0.608